Below is LiPbSe2 after structural relaxation, with properties calculated at the PBE-GGA level.

Calculated volume in Å³/cell: 102.8
D(E_F) in states/eV per cell: 2.84
Mass density in kg/m3: 6007
Space-group type: P4mm, No. 99
Uncorrected formation energy in eV/atom: -0.58

Cell: 3.998 3.998 6.434 Å, 90.00 90.00 90.00°
Element x y z (fractional)
Li: 0.000 0.000 0.000
Pb: 0.500 0.500 0.457
Se: 0.000 0.000 0.582
Se: 0.500 0.500 0.039

=====

Below is Ti3PtS8 after structural relaxation, with properties calculated at the PBE-GGA level.

Calculated volume in Å³/cell: 266.7
D(E_F) in states/eV per cell: 0.65
Mass density in kg/m3: 3706
Space-group type: C2/m, No. 12
Uncorrected formation energy in eV/atom: -0.99

Cell: 6.810 6.810 7.746 Å, 116.53 116.53 60.06°
Element x y z (fractional)
Ti: 0.000 0.000 0.000
Ti: 0.000 0.500 0.000
Ti: 0.500 0.000 0.000
Pt: 0.500 0.500 0.000
S: 0.239 0.239 0.213
S: 0.243 0.739 0.217
S: 0.261 0.261 0.783
S: 0.261 0.757 0.783
S: 0.739 0.243 0.217
S: 0.739 0.739 0.217
S: 0.757 0.261 0.783
S: 0.761 0.761 0.787

=====

Below is Pm2Ho2Tm after structural relaxation, with properties calculated at the PBE-GGA level.

Calculated volume in Å³/cell: 160.3
D(E_F) in states/eV per cell: 6.15
Mass density in kg/m3: 8169
Formation energy from the elements in meV per atom: 24
Space-group type: C2/m, No. 12

Cell: 3.576 3.576 14.479 Å, 90.05 90.05 59.99°
Element x y z (fractional)
Pm: 0.167 0.167 0.396
Pm: 0.833 0.833 0.604
Ho: 0.167 0.167 0.805
Ho: 0.833 0.833 0.195
Tm: 0.500 0.500 0.000

=====

Below is MnAsSe2 after structural relaxation, with properties calculated at the PBE-GGA level.

Calculated volume in Å³/cell: 76.2
D(E_F) in states/eV per cell: 1.60
Mass density in kg/m3: 6269
Space-group type: R-3m, No. 166
Uncorrected formation energy in eV/atom: -0.02

Cell: 8.392 8.392 8.392 Å, 22.55 22.55 22.55°
Element x y z (fractional)
Mn: 0.000 0.000 0.000
As: 0.500 0.500 0.500
Se: 0.270 0.270 0.270
Se: 0.730 0.730 0.730

=====

Below is Pm5Pr7 after structural relaxation, with properties calculated at the PBE-GGA level.

Calculated volume in Å³/cell: 428.5
D(E_F) in states/eV per cell: 18.32
Mass density in kg/m3: 6632
Formation energy from the elements in meV per atom: 148
Space-group type: C2/m, No. 12

Cell: 5.758 5.758 15.013 Å, 102.38 102.38 62.80°
Element x y z (fractional)
Pm: 0.000 0.000 0.000
Pm: 0.133 0.133 0.438
Pm: 0.374 0.374 0.201
Pm: 0.626 0.626 0.799
Pm: 0.867 0.867 0.562
Pr: 0.036 0.036 0.214
Pr: 0.246 0.246 0.671
Pr: 0.322 0.322 0.916
Pr: 0.500 0.500 0.500
Pr: 0.678 0.678 0.084
Pr: 0.754 0.754 0.329
Pr: 0.964 0.964 0.786

=====

Below is AcCu2Ni2 after structural relaxation, with properties calculated at the PBE-GGA level.

Calculated volume in Å³/cell: 172.8
D(E_F) in states/eV per cell: 6.35
Mass density in kg/m3: 9063
Formation energy from the elements in meV per atom: -127
Space-group type: I4/mmm, No. 139

Cell: 10.567 10.567 10.567 Å, 157.49 157.49 32.04°
Element x y z (fractional)
Ac: 0.127 0.127 0.000
Ac: 0.873 0.873 0.000
Cu: 0.000 0.500 0.500
Cu: 0.315 0.315 0.000
Cu: 0.500 0.000 0.500
Cu: 0.685 0.685 0.000
Ni: 0.250 0.750 0.500
Ni: 0.436 0.436 0.000
Ni: 0.564 0.564 0.000
Ni: 0.750 0.250 0.500